1.
# CsBr2F2

A relaxed CsBr2F2 crystal (GGA-PBE, the Alexandria database).

E above lowest polymorph   0 meV per atom

a = 8.5705 Å, b = 8.5705 Å, c = 3.5296 Å
α = 90.00°, β = 90.00°, γ = 90.00°
Closest atoms and distances in Å follow each position.
Space group P4/mbm (No. 127)
Unique sites:
Cs: 0.0000 0.0000 0.0000 [2 per cell]  8 F 3.51, 2 Cs 3.53, 4 Br 3.56
Br: 0.0951 0.4049 0.0000 [4 per cell]  1 Br 2.31
F: 0.2484 0.7484 0.5000 [4 per cell]  2 Br 2.59

2.
# Cs2BrF

A relaxed Cs2BrF crystal (GGA-PBE, the Alexandria database).

E above lowest polymorph   29 meV per atom

a = 4.6151 Å, b = 4.6151 Å, c = 24.5341 Å
α = 90.00°, β = 90.00°, γ = 120.00°
Closest atoms and distances in Å follow each position.
Space group R3m (No. 160, hexagonal axes)
Unique sites:
Cs: 0.0000 0.0000 0.0000 [3 per cell]  3 F 3.14
Cs: 0.0000 0.0000 0.1968 [3 per cell]  3 F 3.16
Br: 0.0000 0.0000 0.4314 [3 per cell]  6 Cs 3.59-3.60
F: 0.0000 0.0000 0.5990 [3 per cell]  6 Cs 3.14-3.16

3.
# CsBrF

A relaxed CsBrF crystal (GGA-PBE, the Alexandria database).

E above lowest polymorph   109 meV per atom

a = 16.7592 Å, b = 5.2853 Å, c = 5.1634 Å
α = 90.00°, β = 90.40°, γ = 90.00°
Closest atoms and distances in Å follow each position.
Space group C2/m (No. 12)
Unique sites:
Cs: 0.1771 0.0000 0.2484 [4 per cell]  4 F 2.88-2.89
Br: 0.0144 0.5000 0.7503 [4 per cell]  2 Br 2.63
F: 0.2469 0.5000 0.2500 [4 per cell]  4 Cs 2.88-2.89

4.
# Cs2BrF

A relaxed Cs2BrF crystal (GGA-PBE, the Alexandria database).

E above lowest polymorph   104 meV per atom

a = 4.0219 Å, b = 4.0219 Å, c = 8.2987 Å
α = 90.00°, β = 90.00°, γ = 90.00°
Closest atoms and distances in Å follow each position.
Space group P4/mmm (No. 123)
Unique sites:
Cs: 0.0000 0.0000 0.2212 [2 per cell]  4 F 3.38, 4 Br 3.67, 1 Cs 3.67
Br: 0.5000 0.5000 0.5000 [1 per cell]  8 Cs 3.67, 4 Br 4.02
F: 0.5000 0.5000 0.0000 [1 per cell]  8 Cs 3.38